# 1
Entry from Alexandria via LeMat-Bulk: a relaxed BaRu2Cl crystal (GGA-PBE).

Calculated values
Energy relative to the elements, uncorrected   24.4 kJ/mol of atoms
Crystal system   orthorhombic
Space group   Imm2, No. 44

```
BaRu2Cl
1.0
5.6752 -0.0157 -0.0109
1.1460 5.5583 0.0109
-2.4012 -4.0136 3.2147
Ba Cl Ru
1 1 2
direct
0.4854 0.4854 0.0000
0.1916 0.6916 0.5000
0.9884 0.9884 0.0000
0.8346 0.3346 0.5000
```

=====

# 2
Entry from Alexandria via LeMat-Bulk: a relaxed BaRu3Cl crystal (GGA-PBE).

Calculated values
Energy relative to the elements, uncorrected   94.2 kJ/mol of atoms
Crystal system   cubic
Space group   Pm-3m, No. 221

```
BaRu3Cl
1.0
4.5986 0.0000 0.0000
0.0000 4.5986 0.0000
0.0000 0.0000 4.5986
Ru Ba Cl
3 1 1
direct
0.0000 0.5000 0.0000
0.0000 0.0000 0.5000
0.5000 0.0000 0.0000
0.5000 0.5000 0.5000
0.0000 0.0000 0.0000
```

=====

# 3
Entry from Alexandria via LeMat-Bulk: a relaxed BaRu4Cl crystal (GGA-PBE).

Calculated values
Energy relative to the elements, uncorrected   85.1 kJ/mol of atoms
Crystal system   cubic
Space group   F-43m, No. 216

```
BaRu4Cl
1.0
0.0000 3.8905 3.8905
3.8905 0.0000 3.8905
3.8905 3.8905 0.0000
Ba Ru Cl
1 4 1
direct
0.7500 0.7500 0.7500
0.8775 0.3742 0.3742
0.3742 0.3742 0.8775
0.3742 0.8775 0.3742
0.3742 0.3742 0.3742
0.0000 0.0000 0.0000
```